## LiAl3Ir (PBE)

Data for a geometry-optimized LiAl3Ir structure.

Geometry as extended XYZ:
```
15
Lattice="6.095 0.000 0.000 0.000 6.095 0.000 0.000 0.000 6.095" Properties=species:S:1:pos:R:3 pbc="T T T"
Li 0.000 0.000 3.047
Li 0.000 3.047 0.000
Li 3.047 0.000 0.000
Al 0.000 0.000 0.000
Al 1.647 1.647 1.647
Al 1.647 1.647 4.448
Al 1.647 4.448 1.647
Al 1.647 4.448 4.448
Al 4.448 1.647 1.647
Al 4.448 1.647 4.448
Al 4.448 4.448 1.647
Al 4.448 4.448 4.448
Ir 0.000 3.047 3.047
Ir 3.047 0.000 3.047
Ir 3.047 3.047 0.000
```

Calculated values
Symmetry: Pm-3m (221)
Calculated formation energy (eV per atom): -0.6259
Energy above the most stable polymorph in this dataset (eV per atom): 0.0000

***

## NdHoTh4 (PBE)

Data for a geometry-optimized NdHoTh4 structure.

Geometry as extended XYZ:
```
6
Lattice="3.592 0.000 0.000 0.000 3.592 0.000 0.000 0.000 15.139" Properties=species:S:1:pos:R:3 pbc="T T T"
Nd 0.000 0.000 0.000
Ho 1.796 1.796 7.569
Th 0.000 0.000 5.060
Th 0.000 0.000 10.079
Th 1.796 1.796 2.625
Th 1.796 1.796 12.514
```

Calculated values
Symmetry: P4/mmm (123)
Calculated formation energy (eV per atom): 0.0434
Energy above the most stable polymorph in this dataset (eV per atom): 0.0000

***

## RhSCl2F (PBE)

Data for a geometry-optimized RhSCl2F structure.

Geometry as extended XYZ:
```
5
Lattice="5.333 0.000 0.000 0.000 5.333 0.000 0.000 0.000 3.599" Properties=species:S:1:pos:R:3 pbc="T T T"
Rh 0.000 0.000 0.000
S 2.666 2.666 0.000
Cl 0.000 2.666 1.799
Cl 2.666 0.000 1.799
F 2.666 2.666 1.799
```

Calculated values
Symmetry: P4/mmm (123)
Formation energy without anion corrections (meV per atom): 700.8
Energy above the most stable polymorph in this dataset (eV per atom): 0.6184